1.
Compound: LiCaLaTm
Source: the Alexandria database
Functional: PBE
Structure: relaxed

Summary:
- density of states at the Fermi level (states/eV per cell) = 19.44
- formation energy (eV/atom) = 0.20

Lattice parameters (Å, degrees): 8.046 8.046 8.046 90.00 90.00 90.00
Space group F-43m (No. 216)
Unique sites:
Li 0.000 0.000 0.000 [4 per cell]
Ca 0.250 0.250 0.250 [4 per cell]
La 0.250 0.250 0.750 [4 per cell]
Tm 0.000 0.000 0.500 [4 per cell]

2.
Compound: ScTa2Cu
Source: the Alexandria database
Functional: PBE
Structure: relaxed

Summary:
- energy relative to the lowest polymorph listed for this composition (eV/f.u.) = 0.41
- density of states at the Fermi level (states/eV per cell) = 4.04
- formation energy (eV/atom) = 0.17

Lattice parameters (Å, degrees): 2.902 2.902 8.406 90.00 90.00 90.00
Space group P4/mmm (No. 123)
Unique sites:
Sc 0.000 0.000 0.000 [1 per cell]
Ta 0.500 0.500 0.280 [2 per cell]
Cu 0.000 0.000 0.500 [1 per cell]

3.
Compound: Nb2VMo
Source: the Alexandria database
Functional: PBE
Structure: relaxed

Summary:
- energy relative to the lowest polymorph listed for this composition (eV/f.u.) = 2.68
- density of states at the Fermi level (states/eV per cell) = 20.60
- formation energy (eV/atom) = 0.62

Lattice parameters (Å, degrees): 7.149 7.149 5.492 90.00 90.00 90.00
Space group I-42d (No. 122)
Unique sites:
Nb 0.247 0.250 0.125 [8 per cell]
V 0.000 0.000 0.000 [4 per cell]
Mo 0.000 0.000 0.500 [4 per cell]

4.
Compound: Ac3Pa5O12
Source: the Alexandria database
Functional: PBE
Structure: relaxed

Summary:
- formation energy from raw total energies (eV per atom) = -3.099
- density of states at the Fermi level (states/eV per cell) = 109.47

Lattice parameters (Å, degrees): 14.165 14.165 14.165 90.00 90.00 90.00
Space group Ia-3d (No. 230)
Unique sites:
Ac 0.000 0.250 0.125 [24 per cell]
Pa 0.000 0.000 0.000 [16 per cell]
Pa 0.000 0.250 0.375 [24 per cell]
O 0.025 0.060 0.648 [96 per cell]

5.
Compound: ZnSi2Ag
Source: the Alexandria database
Functional: PBE
Structure: relaxed

Summary:
- formation energy from raw total energies (eV per atom) = 0.415
- density of states at the Fermi level (states/eV per cell) = 2.07

Lattice parameters (Å, degrees): 4.975 4.975 2.690 90.00 90.00 90.00
Space group P4/mmm (No. 123)
Unique sites:
Zn 0.000 0.000 0.000 [1 per cell]
Si 0.000 0.500 0.500 [2 per cell]
Ag 0.500 0.500 0.000 [1 per cell]

6.
Compound: Y3Pa2Co3
Source: the Alexandria database
Functional: PBE
Structure: relaxed

Summary:
- density of states at the Fermi level (states/eV per cell) = 30.16
- formation energy (eV/atom) = -0.22

Lattice parameters (Å, degrees): 6.267 14.084 7.961 90.00 90.00 90.00
Space group Pnma (No. 62)
Unique sites:
Y 0.004 0.127 0.214 [8 per cell]
Y 0.242 0.750 0.402 [4 per cell]
Pa 0.182 0.082 0.619 [8 per cell]
Co 0.220 0.040 0.910 [8 per cell]
Co 0.236 0.250 0.525 [4 per cell]

7.
Compound: KYPdO3
Source: the Alexandria database
Functional: PBE
Structure: relaxed

Summary:
- formation energy from raw total energies (eV per atom) = -1.816

Lattice parameters (Å, degrees): 3.834 14.131 8.389 90.00 90.00 90.00
Space group Cmcm (No. 63)
Unique sites:
K 0.000 0.217 0.250 [4 per cell]
Y 0.000 0.500 0.000 [4 per cell]
Pd 0.000 0.098 0.750 [4 per cell]
O 0.000 0.100 0.001 [8 per cell]
O 0.000 0.440 0.250 [4 per cell]

8.
Compound: Ac2BPd4
Source: the Alexandria database
Functional: PBE
Structure: relaxed

Summary:
- density of states at the Fermi level (states/eV per cell) = 8.69
- formation energy (eV/atom) = -0.54

Lattice parameters (Å, degrees): 5.824 5.824 9.424 90.00 90.00 90.00
Space group I4/mmm (No. 139)
Unique sites:
Ac 0.000 0.500 0.250 [4 per cell]
B 0.000 0.000 0.000 [2 per cell]
Pd 0.243 0.243 0.500 [8 per cell]

9.
Compound: PaZn2Cu2
Source: the Alexandria database
Functional: PBE
Structure: relaxed

Summary:
- energy relative to the lowest polymorph listed for this composition (eV/f.u.) = 0.00
- density of states at the Fermi level (states/eV per cell) = 9.51
- formation energy (eV/atom) = -0.01

Lattice parameters (Å, degrees): 3.779 4.133 10.805 90.00 90.00 90.00
Space group Pmmn (No. 59, origin choice 2)
Unique sites:
Pa 0.250 0.250 0.249 [2 per cell]
Zn 0.250 0.250 0.867 [2 per cell]
Zn 0.250 0.750 0.506 [2 per cell]
Cu 0.250 0.250 0.644 [2 per cell]
Cu 0.250 0.750 0.990 [2 per cell]

10.
Compound: Ba4IrI3
Source: the Alexandria database
Functional: PBE
Structure: relaxed

Summary:
- formation energy from raw total energies (eV per atom) = -1.094
- density of states at the Fermi level (states/eV per cell) = 10.12

Lattice parameters (Å, degrees): 9.111 10.164 8.206 90.00 109.22 90.00
Space group P2/c (No. 13)
Unique sites:
Ba 0.197 0.101 0.492 [4 per cell]
Ba 0.218 0.323 0.961 [4 per cell]
Ir 0.000 0.122 0.750 [2 per cell]
I 0.000 0.398 0.250 [2 per cell]
I 0.500 0.120 0.250 [2 per cell]
I 0.500 0.380 0.750 [2 per cell]

11.
Compound: ZnCuSCl2
Source: the Alexandria database
Functional: PBE
Structure: relaxed

Summary:
- formation energy from raw total energies (eV per atom) = 0.060
- energy relative to the lowest polymorph listed for this composition (eV/f.u.) = 0.00
- density of states at the Fermi level (states/eV per cell) = 2.85

Lattice parameters (Å, degrees): 4.499 4.499 5.066 90.00 90.00 90.00
Space group P4/mmm (No. 123)
Unique sites:
Zn 0.000 0.000 0.000 [1 per cell]
Cu 0.500 0.500 0.500 [1 per cell]
S 0.500 0.500 0.000 [1 per cell]
Cl 0.000 0.500 0.500 [2 per cell]

12.
Compound: Hf2Sc
Source: the Alexandria database
Functional: PBE
Structure: relaxed

Summary:
- energy relative to the lowest polymorph listed for this composition (eV/f.u.) = 0.24
- density of states at the Fermi level (states/eV per cell) = 10.40
- formation energy (eV/atom) = 0.07

Lattice parameters (Å, degrees): 3.149 3.149 13.856 90.00 90.00 90.00
Space group I4/mmm (No. 139)
Unique sites:
Hf 0.000 0.000 0.172 [4 per cell]
Sc 0.000 0.000 0.500 [2 per cell]

Q: Number 9 is which compound?
A: PaZn2Cu2

Copy entry 2 word for word.
Compound: ScTa2Cu
Source: the Alexandria database
Functional: PBE
Structure: relaxed

Summary:
- energy relative to the lowest polymorph listed for this composition (eV/f.u.) = 0.41
- density of states at the Fermi level (states/eV per cell) = 4.04
- formation energy (eV/atom) = 0.17

Lattice parameters (Å, degrees): 2.902 2.902 8.406 90.00 90.00 90.00
Space group P4/mmm (No. 123)
Unique sites:
Sc 0.000 0.000 0.000 [1 per cell]
Ta 0.500 0.500 0.280 [2 per cell]
Cu 0.000 0.000 0.500 [1 per cell]

Q: What is the formula in the first record?
A: LiCaLaTm